Record 1
The following is a DFT calculation (PBE) of crystalline La2Y6HoTm3 at its relaxed geometry.

Computed properties:
Space-group type: No. 12
Final energy, eV for the cell shown: -66.30
E_form, eV per atom: 0.028
Crystal system: monoclinic

abc: 6.2010 6.2010 11.8404
angles: 95.00 95.00 119.99
Closest atoms and distances in Å follow each position.
Atoms (fractional coordinates):
1 La 0.1665 0.8335 0.0000  3 La 3.58, 3 Ho 3.58, 6 Y 3.62-3.63
2 La 0.8335 0.1665 0.0000  3 La 3.58, 3 Ho 3.58, 6 Y 3.62-3.63
3 Y 0.0825 0.4146 0.7447  3 Tm 3.52-3.53, 6 Y 3.57-3.59, 1 Ho 3.62, 2 La 3.62-3.63
4 Y 0.2535 0.2535 0.2554  3 Tm 3.52-3.53, 6 Y 3.57-3.59, 1 Ho 3.62, 2 La 3.63
5 Y 0.4146 0.0825 0.7447  3 Tm 3.52-3.53, 6 Y 3.57-3.59, 1 Ho 3.62, 2 La 3.62-3.63
6 Y 0.5854 0.9175 0.2553  3 Tm 3.52-3.53, 6 Y 3.57-3.59, 1 Ho 3.62, 2 La 3.62-3.63
7 Y 0.7465 0.7465 0.7446  3 Tm 3.52-3.53, 6 Y 3.57-3.59, 1 Ho 3.62, 2 La 3.63
8 Y 0.9175 0.5854 0.2553  3 Tm 3.52-3.53, 6 Y 3.57-3.59, 1 Ho 3.62, 2 La 3.62-3.63
9 Ho 0.5000 0.5000 0.0000  6 La 3.58, 6 Y 3.62
10 Tm 0.0000 0.0000 0.5000  6 Y 3.52-3.53, 6 Tm 3.58
11 Tm 0.3337 0.6663 0.5000  6 Y 3.52-3.53, 6 Tm 3.57-3.58
12 Tm 0.6663 0.3337 0.5000  6 Y 3.52-3.53, 6 Tm 3.57-3.58

Record 2
The following is a DFT calculation (PBE) of crystalline La3Y6Ho2Tm at its relaxed geometry.

Computed properties:
Space-group type: No. 12
Final energy, eV for the cell shown: -66.91
E_form, eV per atom: 0.024
Crystal system: monoclinic

abc: 6.2435 6.2435 11.8963
angles: 95.02 95.02 120.00
Closest atoms and distances in Å follow each position.
Atoms (fractional coordinates):
1 La 0.0000 0.0000 0.0000  6 La 3.60-3.61, 6 Y 3.65
2 La 0.3332 0.6668 0.0000  6 La 3.60-3.61, 6 Y 3.65
3 La 0.6668 0.3332 0.0000  6 La 3.60-3.61, 6 Y 3.65
4 Y 0.0860 0.4191 0.2562  1 Tm 3.53, 2 Ho 3.53-3.54, 6 Y 3.60-3.61, 3 La 3.65
5 Y 0.2479 0.2479 0.7439  2 Ho 3.53, 1 Tm 3.53, 6 Y 3.60-3.61, 3 La 3.65
6 Y 0.4191 0.0860 0.2562  1 Tm 3.53, 2 Ho 3.53-3.54, 6 Y 3.60-3.61, 3 La 3.65
7 Y 0.5809 0.9140 0.7438  1 Tm 3.53, 2 Ho 3.53-3.54, 6 Y 3.60-3.61, 3 La 3.65
8 Y 0.7521 0.7521 0.2561  2 Ho 3.53, 1 Tm 3.53, 6 Y 3.60-3.61, 3 La 3.65
9 Y 0.9140 0.5809 0.7438  1 Tm 3.53, 2 Ho 3.53-3.54, 6 Y 3.60-3.61, 3 La 3.65
10 Ho 0.1666 0.8334 0.5000  6 Y 3.53-3.54, 3 Ho 3.60-3.61, 3 Tm 3.60-3.61
11 Ho 0.8334 0.1666 0.5000  6 Y 3.53-3.54, 3 Ho 3.60-3.61, 3 Tm 3.60-3.61
12 Tm 0.5000 0.5000 0.5000  6 Y 3.53, 6 Ho 3.60-3.61

Record 3
The following is a DFT calculation (PBE) of crystalline LaY6Ho2Tm at its relaxed geometry.

Computed properties:
Space-group type: No. 15
Final energy, eV for the cell shown: -112.28
E_form, eV per atom: 0.120
Crystal system: monoclinic

abc: 8.8331 8.8331 9.4576
angles: 92.86 92.86 116.87
Closest atoms and distances in Å follow each position.
Atoms (fractional coordinates):
1 La 0.0321 0.9679 0.7500  4 Ho 3.38-3.54, 6 Y 3.56-3.77
2 La 0.9679 0.0321 0.2500  4 Ho 3.38-3.54, 6 Y 3.56-3.77
3 Y 0.0072 0.5568 0.6825  4 Y 3.25-3.63, 2 Ho 3.43-3.57, 1 Tm 3.44, 1 La 3.56
4 Y 0.1221 0.7578 0.0577  7 Y 3.43-3.76, 1 Ho 3.51, 2 La 3.72-3.77
5 Y 0.2422 0.8779 0.4423  7 Y 3.43-3.76, 1 Ho 3.51, 2 La 3.72-3.77
6 Y 0.2912 0.5166 0.8883  4 Y 3.25-3.48, 3 Ho 3.29-3.46, 2 Tm 3.43-3.47
7 Y 0.4432 0.9928 0.8175  4 Y 3.25-3.63, 2 Ho 3.43-3.57, 1 Tm 3.44, 1 La 3.56
8 Y 0.4834 0.7088 0.6117  4 Y 3.25-3.48, 3 Ho 3.29-3.46, 2 Tm 3.43-3.47
9 Y 0.5166 0.2912 0.3883  4 Y 3.25-3.48, 3 Ho 3.29-3.46, 2 Tm 3.43-3.47
10 Y 0.5568 0.0072 0.1825  4 Y 3.25-3.63, 2 Ho 3.43-3.57, 1 Tm 3.44, 1 La 3.56
11 Y 0.7088 0.4834 0.1117  4 Y 3.25-3.48, 3 Ho 3.29-3.46, 2 Tm 3.43-3.47
12 Y 0.7578 0.1221 0.5577  7 Y 3.43-3.76, 1 Ho 3.51, 2 La 3.72-3.77
13 Y 0.8779 0.2422 0.9423  7 Y 3.43-3.76, 1 Ho 3.51, 2 La 3.72-3.77
14 Y 0.9928 0.4432 0.3175  4 Y 3.25-3.63, 2 Ho 3.43-3.57, 1 Tm 3.44, 1 La 3.56
15 Ho 0.2020 0.3060 0.5535  6 Y 3.29-3.57, 2 La 3.38-3.54, 1 Tm 3.49
16 Ho 0.3060 0.2020 0.0535  6 Y 3.29-3.57, 2 La 3.38-3.54, 1 Tm 3.49
17 Ho 0.6940 0.7980 0.9465  6 Y 3.29-3.57, 2 La 3.38-3.54, 1 Tm 3.49
18 Ho 0.7980 0.6940 0.4465  6 Y 3.29-3.57, 2 La 3.38-3.54, 1 Tm 3.49
19 Tm 0.4128 0.5872 0.2500  6 Y 3.43-3.47, 2 Ho 3.49
20 Tm 0.5872 0.4128 0.7500  6 Y 3.43-3.47, 2 Ho 3.49

Record 4
The following is a DFT calculation (PBE) of crystalline La2YHo2Tm at its relaxed geometry.

Computed properties:
Space-group type: No. 26
Final energy, eV for the cell shown: -59.07
E_form, eV per atom: 0.069
Crystal system: orthorhombic

abc: 5.6699 9.8725 7.0805
angles: 90.00 90.00 90.00
Closest atoms and distances in Å follow each position.
Atoms (fractional coordinates):
1 La 0.0000 0.0004 0.0000  6 La 3.54-3.76, 6 Ho 3.73-3.76, 2 Tm 3.80
2 La 0.0000 0.9996 0.5000  6 La 3.54-3.76, 6 Ho 3.73-3.76, 2 Tm 3.80
3 La 0.5000 0.1747 0.2502  5 Ho 3.25-3.54
4 La 0.5000 0.8253 0.7502  5 Ho 3.25-3.54
5 Y 0.5000 0.4999 0.9997  2 Y 3.54, 2 La 3.67, 4 Tm 3.69, 6 Ho 3.72-3.73
6 Y 0.5000 0.5001 0.4997  2 Y 3.54, 2 La 3.67, 4 Tm 3.69, 6 Ho 3.72-3.73
7 Ho 0.0000 0.3351 0.2498  3 Tm 3.20-3.54, 2 La 3.25
8 Ho 0.0000 0.6649 0.7498  3 Tm 3.20-3.54, 2 La 3.25
9 Ho 0.5000 0.1671 0.7499  2 Tm 3.31, 3 La 3.38-3.54
10 Ho 0.5000 0.8329 0.2499  2 Tm 3.31, 3 La 3.38-3.54
11 Tm 0.0000 0.3405 0.7496  5 Ho 3.20-3.54
12 Tm 0.0000 0.6595 0.2496  5 Ho 3.20-3.54

Record 5
The following is a DFT calculation (PBE) of crystalline La3Y2Ho6Tm at its relaxed geometry.

Computed properties:
Space-group type: No. 12
Final energy, eV for the cell shown: -59.34
E_form, eV per atom: 0.026
Crystal system: monoclinic

abc: 6.2164 6.2164 11.8505
angles: 95.01 95.01 120.00
Closest atoms and distances in Å follow each position.
Atoms (fractional coordinates):
1 La 0.0000 0.0000 0.0000  6 La 3.59, 6 Ho 3.63
2 La 0.3331 0.6669 0.0000  6 La 3.59, 6 Ho 3.63
3 La 0.6669 0.3331 0.0000  6 La 3.59, 6 Ho 3.63
4 Y 0.1666 0.8334 0.5000  6 Ho 3.53, 3 Y 3.59, 3 Tm 3.59
5 Y 0.8334 0.1666 0.5000  6 Ho 3.53, 3 Y 3.59, 3 Tm 3.59
6 Ho 0.0867 0.4191 0.2556  1 Tm 3.52, 2 Y 3.53, 6 Ho 3.58-3.59, 3 La 3.63
7 Ho 0.2486 0.2486 0.7446  1 Tm 3.52, 2 Y 3.53, 6 Ho 3.58-3.59, 3 La 3.63
8 Ho 0.4191 0.0867 0.2556  1 Tm 3.52, 2 Y 3.53, 6 Ho 3.58-3.59, 3 La 3.63
9 Ho 0.5809 0.9133 0.7444  1 Tm 3.52, 2 Y 3.53, 6 Ho 3.58-3.59, 3 La 3.63
10 Ho 0.7514 0.7514 0.2554  1 Tm 3.52, 2 Y 3.53, 6 Ho 3.58-3.59, 3 La 3.63
11 Ho 0.9133 0.5809 0.7444  1 Tm 3.52, 2 Y 3.53, 6 Ho 3.58-3.59, 3 La 3.63
12 Tm 0.5000 0.5000 0.5000  6 Ho 3.52, 6 Y 3.59

Record 6
The following is a DFT calculation (PBE) of crystalline LaY5HoTm2 at its relaxed geometry.

Computed properties:
Space-group type: No. 36
Final energy, eV for the cell shown: -98.49
E_form, eV per atom: 0.169
Crystal system: orthorhombic

abc: 10.4089 10.4089 10.4627
angles: 90.00 90.00 148.62
Closest atoms and distances in Å follow each position.
Atoms (fractional coordinates):
1 La 0.0845 0.9155 0.5000  5 Y 3.05-3.30
2 La 0.9155 0.0845 0.0000  5 Y 3.05-3.30
3 Y 0.0220 0.9780 0.7920  2 La 3.05-3.30
4 Y 0.1175 0.8825 0.0807  4 Tm 3.55-3.57, 6 Y 3.57-3.89, 1 Ho 3.74
5 Y 0.2024 0.7976 0.7657  4 Y 3.40-3.71, 3 Ho 3.47-3.79, 3 Tm 3.54-3.72, 1 La 3.65
6 Y 0.2233 0.7767 0.3796  1 La 3.05, 1 Tm 3.30, 2 Y 3.40
7 Y 0.4838 0.5162 0.0794  2 La 3.24, 3 Tm 3.35-3.59, 2 Y 3.59, 1 Ho 3.60
8 Y 0.5162 0.4838 0.5794  2 La 3.24, 3 Tm 3.35-3.59, 2 Y 3.59, 1 Ho 3.60
9 Y 0.7767 0.2233 0.8796  1 La 3.05, 1 Tm 3.30, 2 Y 3.40
10 Y 0.7976 0.2024 0.2657  4 Y 3.40-3.71, 3 Ho 3.47-3.79, 3 Tm 3.54-3.72, 1 La 3.65
11 Y 0.8825 0.1175 0.5807  4 Tm 3.55-3.57, 6 Y 3.57-3.89, 1 Ho 3.74
12 Y 0.9780 0.0220 0.2920  2 La 3.05-3.30
13 Ho 0.3040 0.6960 0.0717  2 Tm 3.38-3.59, 7 Y 3.47-3.74, 2 La 3.67
14 Ho 0.6960 0.3040 0.5717  2 Tm 3.38-3.59, 7 Y 3.47-3.74, 2 La 3.67
15 Tm 0.3874 0.6126 0.7905  1 Ho 3.38, 7 Y 3.40-3.72, 2 La 3.61
16 Tm 0.3880 0.6120 0.3743  9 Y 3.30-3.63, 1 Ho 3.59
17 Tm 0.6120 0.3880 0.8743  9 Y 3.30-3.63, 1 Ho 3.59
18 Tm 0.6126 0.3874 0.2905  1 Ho 3.38, 7 Y 3.40-3.72, 2 La 3.61